Na3Dy2CoO6 after structural relaxation. Source: Alexandria via LeMat-Bulk, functional PBE with a Hubbard U.

Unit cell a=5.699 b=5.699 c=5.868 alpha=99.22 beta=99.22 gamma=119.73
Site moments in Bohr magnetons follow the coordinates.
Positions (direct):
Na (0.154, 0.846, 0.500)  0.00
Na (0.846, 0.154, 0.500)  0.00
Na (0.500, 0.500, 0.500)  0.00
Dy (0.333, 0.667, 0.000)  0.01
Dy (0.667, 0.333, 0.000)  0.01
Co (0.000, 0.000, 0.000)  3.04
O (0.931, 0.624, 0.793)  0.12
O (0.749, 0.749, 0.211)  0.11
O (0.069, 0.376, 0.207)  0.12
O (0.624, 0.931, 0.793)  0.12
O (0.251, 0.251, 0.789)  0.11
O (0.376, 0.069, 0.207)  0.12

Properties
calculated total energy	-6.216	eV/atom